# 1
## CsAl4Ga2 (PBE)

Data for a relaxed structure of CsAl4Ga2.

For the density of states at the Fermi level, the calculation gives 2.03 states/eV/f.u. Its density is 3626 kg/m³. The formation energy comes out at 0 kJ per mole of atoms. As for the volume: 174.2 Å³/f.u.

The space group is Cmmm (No. 65) and the conventional cell measures 4.3174, 18.5940 and 4.3391 Å, with angles of 90.00, 90.00 and 90.00 degrees. The inequivalent atoms are Cs at (0.0000, 0.0000, 0.0000), Al at (0.0000, 0.2010, 0.5000), Al at (0.0000, 0.3001, 0.0000) and Ga at (0.0000, 0.3807, 0.5000).

# 2
## CoSiHg (PBE)

Data for a relaxed structure of CoSiHg.

For the density of states at the Fermi level, the calculation gives 1.91 states/eV/f.u. The formation energy from raw total energies comes out at 0.134 eV/atom. Its density is 8727 kg/m³. For the relative energy among the computed polymorphs, the calculation gives 0.0 kJ per mole of atoms. As for the volume: 54.7 Å³/f.u.

The space group is Imm2 (No. 44) and the conventional cell measures 2.7043, 3.6812 and 10.9941 Å, with angles of 90.00, 90.00 and 90.00 degrees. The inequivalent atoms are Co at (0.0000, 0.0000, 0.0000), Si at (0.0000, 0.0000, 0.4854) and Hg at (0.0000, 0.0000, 0.2397).

> Look up the volume of the first one.

174.2 Å³/f.u.

> Look up the volume of the second one.

54.7 Å³/f.u.

> What is the formula in the second record?

CoSiHg